Compound: MgCr4Se
Source: Alexandria
Functional: meta-GGA SCAN
Structure: PBEsol geometry

Output
E_tot: -15.85 eV per atom
Space-group type: No. 216
Formation energy (no corrections): 337 kJ/mol of formula units
Size of the total moment: 0.001 μB/atom

Cell: 4.839 4.839 4.839 Å, 60.00 60.00 60.00°
Atoms (fractional coordinates):
Cr (0.625, 0.625, 0.625)
Cr (0.625, 0.625, 0.126)
Cr (0.625, 0.126, 0.625)
Cr (0.126, 0.625, 0.625)
Mg (0.250, 0.250, 0.250)
Se (0.000, 0.000, 0.000)